1.
Computed, not measured: an optimized crystal structure of BeSnPCl2 at the PBE-GGA level of DFT.

Lattice parameters (Å, degrees): 5.1124 5.1124 5.2852 90.00 90.00 90.00
Element x y z (fractional)
Sn1 0.0000 0.0000 0.0000
Cl1 0.0000 0.5000 0.0000
Cl2 0.5000 0.0000 0.0000
Be1 0.5000 0.5000 0.5000
P1 0.0000 0.0000 0.5000

Mass density (g/cm3): 2.76
Density of states at the Fermi level (states/eV/cell): 3.1
ΔE_f (raw) (eV per atom): 0.571

***

2.
Computed, not measured: an optimized crystal structure of CeZn8N6 at the PBE-GGA level of DFT.

Lattice parameters (Å, degrees): 6.3482 6.3482 11.4740 90.00 90.00 120.00
Each line ends with the local moment (μB).
Element x y z (fractional)
Ce1 0.0000 0.0000 0.5036  0.73
N1 0.0000 0.0000 0.2085  0.00
Zn1 0.2896 0.0000 0.2740  0.01
Zn2 0.6667 0.3333 0.4080  0.00
Zn3 0.0000 0.5516 0.1137  0.02
Zn4 0.4484 0.4484 0.1137  0.02
Zn5 0.5516 0.0000 0.1137  0.02
N2 0.3566 0.0000 0.4475  0.00
Zn6 0.3333 0.6667 0.9080  0.00
Zn7 0.4484 0.0000 0.6137  0.02
Zn8 0.0000 0.7104 0.7740  0.01
N3 0.3333 0.6667 0.7060  0.03
N4 0.6434 0.6434 0.4475  0.00
Zn9 0.0000 0.4484 0.6137  0.02
Zn10 0.5516 0.5516 0.6137  0.02
N5 0.6667 0.3333 0.2060  0.03
N6 0.6434 0.0000 0.9475  0.00
N7 0.3333 0.6667 0.2060  0.03
Zn11 0.0000 0.2896 0.2740  0.01
Zn12 0.7104 0.0000 0.7740  0.01
N8 0.0000 0.0000 0.7085  0.00
Zn13 0.6667 0.3333 0.9080  0.00
Ce2 0.0000 0.0000 0.0036  0.73
N9 0.0000 0.6434 0.9475  0.00
Zn14 0.3333 0.6667 0.4080  0.00
Zn15 0.2896 0.2896 0.7740  0.01
N10 0.0000 0.3566 0.4475  0.00
Zn16 0.7104 0.7104 0.2740  0.01
N11 0.6667 0.3333 0.7060  0.03
N12 0.3566 0.3566 0.9475  0.00

Mass density (g/cm3): 6.20
Density of states at the Fermi level (states/eV/cell): 12.9
ΔE_f (raw) (eV per atom): 0.029

***

3.
Computed, not measured: an optimized crystal structure of Sn5Se6 at the PBE-GGA level of DFT.

Lattice parameters (Å, degrees): 7.2414 7.2318 7.2667 80.63 71.03 59.96
Element x y z (fractional)
Sn1 0.8314 0.3373 0.5000
Se1 0.5714 0.3407 0.2561
Se2 0.7388 0.0000 0.7585
Sn2 0.6626 0.6748 0.0000
Se3 0.2612 0.0000 0.2415
Se4 0.9121 0.6593 0.2561
Sn3 0.1686 0.6627 0.5000
Se5 0.4286 0.6593 0.7439
Sn4 0.3374 0.3252 0.0000
Sn5 0.5000 0.0000 0.5000
Se6 0.0879 0.3407 0.7439

Mass density (g/cm3): 5.69
Density of states at the Fermi level (states/eV/cell): 4.9
ΔE_f (raw) (eV per atom): -0.401

***

4.
Computed, not measured: an optimized crystal structure of HgOs2Ru at the PBE-GGA level of DFT.

Lattice parameters (Å, degrees): 4.9315 4.9315 2.7898 90.00 90.00 112.84
Each line ends with the local moment (μB).
Element x y z (fractional)
Os1 0.5000 0.5000 0.0000  0.17
Hg1 0.0000 0.5000 0.5000  0.02
Ru1 0.5000 0.0000 0.5000  0.07
Os2 0.0000 0.0000 0.0000  0.17

DFT formation energy (meV/atom): 860
Mass density (g/cm3): 18.11
Density of states at the Fermi level (states/eV/cell): 6.8

***

5.
Computed, not measured: an optimized crystal structure of Hf6TiTl at the PBE-GGA level of DFT.

Lattice parameters (Å, degrees): 4.3657 4.3657 9.0845 90.00 90.00 90.00
Element x y z (fractional)
Hf1 0.5000 0.5000 0.0000
Hf2 0.5000 0.5000 0.5000
Hf3 0.5000 0.0000 0.2616
Ti1 0.0000 0.0000 0.5000
Tl1 0.0000 0.0000 0.0000
Hf4 0.0000 0.5000 0.7384
Hf5 0.5000 0.0000 0.7384
Hf6 0.0000 0.5000 0.2616

DFT formation energy (meV/atom): 32
Mass density (g/cm3): 12.69
Density of states at the Fermi level (states/eV/cell): 8.8

***

6.
Computed, not measured: an optimized crystal structure of Er5Th2Sc2 at the PBE-GGA level of DFT.

Lattice parameters (Å, degrees): 12.6980 5.7518 10.2379 106.31 128.33 90.00
Element x y z (fractional)
Er1 0.1382 0.2850 0.9162
Er2 0.8618 0.3687 0.0838
Er3 0.2780 0.7850 0.9162
Er4 0.3335 0.1069 0.2868
Th1 0.8004 0.7253 0.5000
Th2 0.5000 0.3665 0.0000
Sc1 0.4042 0.8089 0.7086
Er5 0.9327 0.2543 0.5000
Er6 0.4533 0.6069 0.2868
Th3 0.0000 0.8665 0.0000
Er7 0.6665 0.8201 0.7132
Er8 0.5467 0.3201 0.7132
Er9 0.7220 0.8687 0.0838
Th4 0.1996 0.2253 0.5000
Sc2 0.8044 0.3089 0.7086
Sc3 0.5958 0.1003 0.2914
Sc4 0.1956 0.6003 0.2914
Er10 0.0673 0.7543 0.5000

DFT formation energy (meV/atom): 215
Mass density (g/cm3): 8.43
Density of states at the Fermi level (states/eV/cell): 27.5

***

7.
Computed, not measured: an optimized crystal structure of Na2CaHg2 at the PBE-GGA level of DFT.

Lattice parameters (Å, degrees): 8.6322 8.6322 3.6413 90.00 90.00 90.00
Element x y z (fractional)
Hg1 0.6821 0.8179 0.5000
Hg2 0.3179 0.1821 0.5000
Hg3 0.8179 0.3179 0.5000
Na1 0.3806 0.8806 0.0000
Ca1 0.5000 0.5000 0.0000
Na2 0.8806 0.6194 0.0000
Ca2 0.0000 0.0000 0.0000
Hg4 0.1821 0.6821 0.5000
Na3 0.6194 0.1194 0.0000
Na4 0.1194 0.3806 0.0000

DFT formation energy (meV/atom): -202
Mass density (g/cm3): 5.96
Density of states at the Fermi level (states/eV/cell): 5.9

***

8.
Computed, not measured: an optimized crystal structure of Sr2ZrAlTl at the PBE-GGA level of DFT.

Lattice parameters (Å, degrees): 6.1470 5.2960 6.1470 90.00 90.00 90.00
Each line ends with the local moment (μB).
Element x y z (fractional)
Zr1 0.0000 0.0000 0.0000  1.00
Al1 0.0000 0.5000 0.0000  0.02
Sr1 0.5000 0.0000 0.0000  0.08
Sr2 0.0000 0.0000 0.5000  0.13
Tl1 0.5000 0.5000 0.5000  -0.02

DFT formation energy (meV/atom): 673
Mass density (g/cm3): 4.13
Density of states at the Fermi level (states/eV/cell): 5.6

***

9.
Computed, not measured: an optimized crystal structure of Cs2CdHg2 at the PBE-GGA level of DFT.

Lattice parameters (Å, degrees): 4.6949 4.6949 11.4268 78.15 78.15 90.00
Element x y z (fractional)
Cd1 0.0000 0.0000 0.0000
Hg1 0.7500 0.2500 0.5000
Cs1 0.6105 0.6105 0.7789
Hg2 0.2500 0.7500 0.5000
Cs2 0.3895 0.3895 0.2211

DFT formation energy (meV/atom): -113
Mass density (g/cm3): 5.37
Density of states at the Fermi level (states/eV/cell): 2.6

***

10.
Computed, not measured: an optimized crystal structure of ZrPBr2F at the PBE-GGA level of DFT.

Lattice parameters (Å, degrees): 5.4291 4.2991 5.4291 90.00 90.00 90.00
Each line ends with the local moment (μB).
Element x y z (fractional)
F1 0.0000 0.5000 0.0000  0.00
Br1 0.0000 0.0000 0.5000  0.10
P1 0.5000 0.5000 0.5000  1.14
Br2 0.5000 0.0000 0.0000  0.06
Zr1 0.0000 0.0000 0.0000  0.49

Mass density (g/cm3): 3.94
Density of states at the Fermi level (states/eV/cell): 2.7
ΔE_f (raw) (eV per atom): -0.737

***

11.
Computed, not measured: an optimized crystal structure of Mn4Bi2C at the PBE-GGA level of DFT.

Lattice parameters (Å, degrees): 4.0818 4.0818 7.7372 74.71 74.71 90.00
Each line ends with the local moment (μB).
Element x y z (fractional)
Mn1 0.5000 0.0000 0.0000  2.98
Mn2 0.8664 0.8664 0.2672  3.15
Mn3 0.1336 0.1336 0.7328  3.15
Bi1 0.6604 0.6604 0.6793  -0.13
Mn4 0.0000 0.5000 0.0000  2.98
C1 0.0000 0.0000 0.0000  -0.19
Bi2 0.3396 0.3396 0.3207  -0.13

DFT formation energy (meV/atom): 212
Mass density (g/cm3): 9.02
Density of states at the Fermi level (states/eV/cell): 5.3

***

12.
Computed, not measured: an optimized crystal structure of Li2PaBi2O7 at the PBE-GGA level of DFT.

Lattice parameters (Å, degrees): 5.3543 5.3543 8.2619 71.09 71.09 60.00
Each line ends with the local moment (μB).
Element x y z (fractional)
O1 0.4588 0.1125 0.6819  0.03
O2 0.0000 0.0000 0.0000  0.66
Bi1 0.2782 0.2782 0.1655  0.01
Bi2 0.7218 0.7218 0.8345  0.01
O3 0.8875 0.5412 0.3181  0.03
Li1 0.0848 0.0848 0.7457  -0.01
O4 0.1125 0.7468 0.6819  0.03
O5 0.2532 0.8875 0.3181  0.03
O6 0.5412 0.2532 0.3181  0.03
O7 0.7468 0.4588 0.6819  0.03
Li2 0.9152 0.9152 0.2543  -0.01
Pa1 0.5000 0.5000 0.5000  0.00

Mass density (g/cm3): 6.76
Density of states at the Fermi level (states/eV/cell): 4.9
ΔE_f (raw) (eV per atom): -1.865